Record 1
Density functional theory data (GGA-PBE) for crystalline NaSmCdPb at its relaxed geometry.

## Properties
- ΔH_f (0 K): -1.2 eV per formula unit
- DFT total energy: -2.967 eV per atom

```
data_NaSmCdPb
_symmetry_space_group_name_H-M 'F -4 3 m'
_symmetry_Int_Tables_number 216
_symmetry_space_group_name_Hall 'F -4 2 3'
_cell_length_a 7.608
_cell_length_b 7.608
_cell_length_c 7.608
_cell_angle_alpha 90.00
_cell_angle_beta 90.00
_cell_angle_gamma 90.00
loop_
_atom_site_label
_atom_site_type_symbol
_atom_site_fract_x
_atom_site_fract_y
_atom_site_fract_z
Na1 Na 0.000 0.000 0.000
Sm1 Sm 0.000 0.000 0.500
Cd1 Cd 0.250 0.250 0.750
Pb1 Pb 0.250 0.250 0.250
```

Record 2
Density functional theory data (GGA-PBE) for crystalline CoMoCl2 at its relaxed geometry.

## Properties
- DFT total energy: -5.217 eV per atom
- Uncorrected formation energy: 190.9 meV per atom

```
data_CoMoCl2
_symmetry_space_group_name_H-M 'I m m 2'
_symmetry_Int_Tables_number 44
_cell_length_a 3.025
_cell_length_b 3.100
_cell_length_c 16.628
_cell_angle_alpha 90.00
_cell_angle_beta 90.00
_cell_angle_gamma 90.00
loop_
_symmetry_equiv_pos_as_xyz
'x,y,z'
'-x,-y,z'
'-x,y,z'
'x,-y,z'
'x+1/2,y+1/2,z+1/2'
'-x+1/2,-y+1/2,z+1/2'
'-x+1/2,y+1/2,z+1/2'
'x+1/2,-y+1/2,z+1/2'
loop_
_atom_site_label
_atom_site_type_symbol
_atom_site_fract_x
_atom_site_fract_y
_atom_site_fract_z
Co1 Co 0.000 0.000 0.000
Mo1 Mo 0.000 0.500 0.901
Cl1 Cl 0.000 0.000 0.588
Cl2 Cl 0.000 0.500 0.307
```

Record 3
Density functional theory data (GGA-PBE) for crystalline CrRe2MoRu at its relaxed geometry.

## Properties
- ΔH_f (0 K): 11.8 eV per formula unit
- DFT total energy: -8.575 eV per atom

```
data_CrRe2MoRu
_symmetry_space_group_name_H-M 'P 4/m m m'
_symmetry_Int_Tables_number 123
_symmetry_space_group_name_Hall '-P 4 2'
_cell_length_a 4.660
_cell_length_b 4.660
_cell_length_c 4.549
_cell_angle_alpha 90.00
_cell_angle_beta 90.00
_cell_angle_gamma 90.00
loop_
_atom_site_label
_atom_site_type_symbol
_atom_site_fract_x
_atom_site_fract_y
_atom_site_fract_z
Cr1 Cr 0.000 0.000 0.000
Re1 Re 0.000 0.500 0.500
Mo1 Mo 0.500 0.500 0.500
Ru1 Ru 0.500 0.500 0.000
```

Record 4
Density functional theory data (GGA-PBE) for crystalline LiLaBr2 at its relaxed geometry.

## Properties
- DFT total energy: -3.794 eV per atom
- Uncorrected formation energy: -1247.3 meV per atom

```
data_LiLaBr2
_symmetry_space_group_name_H-M 'R -3 m'
_symmetry_Int_Tables_number 166
_symmetry_space_group_name_Hall '-R 3 2"'
_cell_length_a 4.0043
_cell_length_b 4.0043
_cell_length_c 26.6039
_cell_angle_alpha 90.00
_cell_angle_beta 90.00
_cell_angle_gamma 120.00
loop_
_atom_site_label
_atom_site_type_symbol
_atom_site_fract_x
_atom_site_fract_y
_atom_site_fract_z
Li1 Li 0.0000 0.0000 0.0000
La1 La 0.0000 0.0000 0.5000
Br1 Br 0.0000 0.0000 0.3897
```

Record 5
Density functional theory data (GGA-PBE) for crystalline Cs3AcPm2S6 at its relaxed geometry.

## Properties
- DFT total energy: -5.243 eV per atom
- Uncorrected formation energy: -1831.3 meV per atom

```
data_Cs3AcPm2S6
_symmetry_space_group_name_H-M 'C 1 2/m 1'
_symmetry_Int_Tables_number 12
_cell_length_a 7.468
_cell_length_b 12.934
_cell_length_c 8.476
_cell_angle_alpha 90.00
_cell_angle_beta 107.08
_cell_angle_gamma 90.00
loop_
_symmetry_equiv_pos_as_xyz
'x,y,z'
'-x,-y,-z'
'-x,y,-z'
'x,-y,z'
'x+1/2,y+1/2,z'
'-x+1/2,-y+1/2,-z'
'-x+1/2,y+1/2,-z'
'x+1/2,-y+1/2,z'
loop_
_atom_site_label
_atom_site_type_symbol
_atom_site_fract_x
_atom_site_fract_y
_atom_site_fract_z
Cs1 Cs 0.000 0.000 0.000
Cs2 Cs 0.000 0.334 0.000
Ac1 Ac 0.000 0.500 0.500
Pm1 Pm 0.000 0.167 0.500
S1 S 0.216 0.000 0.687
S2 S 0.236 0.327 0.687
```

Record 6
Density functional theory data (GGA-PBE) for crystalline YPC2 at its relaxed geometry.

## Properties
- ΔH_f (0 K): -0.1 eV per formula unit
- DFT total energy: -7.609 eV per atom

```
data_YPC2
_symmetry_space_group_name_H-M 'I -4 2 d'
_symmetry_Int_Tables_number 122
_symmetry_space_group_name_Hall 'I -4 2bw'
_cell_length_a 5.499
_cell_length_b 5.499
_cell_length_c 6.649
_cell_angle_alpha 90.00
_cell_angle_beta 90.00
_cell_angle_gamma 90.00
loop_
_atom_site_label
_atom_site_type_symbol
_atom_site_fract_x
_atom_site_fract_y
_atom_site_fract_z
Y1 Y 0.000 0.000 0.000
P1 P 0.000 0.000 0.500
C1 C 0.152 0.250 0.625
```